# 1
{
  "formula": "Ga3SbP",
  "functional": "meta-GGA SCAN",
  "state": "single point on PBEsol structure",
  "cell": [[4.753, 0.000, 0.000], [0.000, 4.753, 0.000], [0.000, 0.000, 4.753]],
  "species": ["Sb", "Ga", "Ga", "Ga", "P"],
  "fractional_positions": [[0.500, 0.500, 0.500], [0.500, 0.000, 0.000], [0.000, 0.500, 0.000], [0.000, 0.000, 0.500], [0.000, 0.000, 0.000]],
  "formation_energy_uncorrected_ev_per_atom": 0.297,
  "mass_density_g_cm3": 5.60,
  "sg": "Pm-3m, No. 221",
  "m_tot_mub_per_cell": 0.00,
  "e_tot_ev_per_atom": -19.043,
  "dos_ef_per_ev_cell": 1.200
}



# 2
{
  "formula": "CsAsSBr2",
  "functional": "meta-GGA SCAN",
  "state": "single point on PBEsol structure",
  "cell": [[-0.648, -2.090, -3.964], [5.822, -0.714, -0.575], [-0.360, -5.179, 2.789]],
  "species": ["Br", "S", "Br", "Cs", "As"],
  "fractional_positions": [[0.000, 0.000, 0.500], [0.000, 0.000, 0.000], [0.000, 0.500, 0.000], [0.500, 0.500, 0.500], [0.500, 0.000, 0.000]],
  "formation_energy_uncorrected_ev_per_atom": -0.319,
  "mass_density_g_cm3": 4.22,
  "sg": "P4/mmm, No. 123",
  "m_tot_mub_per_cell": 0.00,
  "e_tot_ev_per_atom": -21.629,
  "dos_ef_per_ev_cell": 2.425
}



# 3
{
  "formula": "FePOs",
  "functional": "meta-GGA SCAN",
  "state": "single point on PBEsol structure",
  "cell": [[2.786, 0.000, 0.000], [0.000, 3.962, 0.000], [0.000, -1.981, 3.432]],
  "species": ["Os", "P", "Fe"],
  "fractional_positions": [[0.500, 0.333, 0.667], [0.500, 0.667, 0.333], [0.000, 0.000, 0.000]],
  "mass_density_g_cm3": 12.14,
  "sg": "P-6m2, No. 187",
  "m_tot_mub_per_cell": 2.88,
  "ef_mev_per_atom": -56,
  "e_tot_ev_per_atom": -33.525,
  "dos_ef_per_ev_cell": 1.349
}